1.
PBE PmNd2TmTh, optimized geometry; SG = No. 13
1.0
8.6706 0.0000 0.0000
0.0000 6.4147 0.0000
-0.7381 0.0000 6.3520
Pm Nd Tm Th
2 4 2 2
direct
0.0000 0.0000 0.0000
0.0000 0.0000 0.5000
0.3142 0.3040 0.2127
0.3142 0.6960 0.7127
0.6858 0.3040 0.2873
0.6858 0.6960 0.7873
0.5000 0.1766 0.7500
0.5000 0.8234 0.2500
0.0000 0.4525 0.7500
0.0000 0.5475 0.2500

***

2.
PBE Ac2Ni4As3P, optimized geometry; SG = No. 115
1.0
4.3040 0.0000 0.0000
0.0000 4.3040 0.0000
0.0000 0.0000 9.6278
Ac Ni As P
2 4 3 1
direct
0.0000 0.5000 0.2489
0.5000 0.0000 0.7511
0.0000 0.0000 0.5000
0.0000 0.5000 0.8928
0.5000 0.0000 0.1072
0.5000 0.5000 0.5000
0.0000 0.0000 0.0000
0.0000 0.5000 0.6274
0.5000 0.0000 0.3726
0.5000 0.5000 0.0000

***

| no. | E (eV per atom) | ΔH_f (0 K) (meV per atom) |
| --- | --- | --- |
| 1 | -4.92 | 313 |
| 2 | -5.90 | -829 |